1.
A plane-wave DFT calculation with PBE-GGA was carried out for Na3Bi4Rh4 after structural relaxation.

a = 7.1292 Å, b = 7.1292 Å, c = 7.1292 Å
α = 109.47°, β = 109.47°, γ = 109.47°
With the nearest neighbours (Å) after each atom.
Element x y z (fractional)
Na: 0.0000 0.5000 0.5000  4 Bi 3.38, 4 Rh 3.41
Na: 0.5000 0.0000 0.5000  4 Bi 3.38, 4 Rh 3.41
Na: 0.5000 0.5000 0.0000  4 Bi 3.38, 4 Rh 3.41
Bi: 0.0000 0.0000 0.6188  4 Rh 2.61-2.71
Bi: 0.0000 0.6188 0.0000  4 Rh 2.61-2.71
Bi: 0.3812 0.3812 0.3812  4 Rh 2.61-2.71
Bi: 0.6188 0.0000 0.0000  4 Rh 2.61-2.71
Rh: 0.0000 0.0000 0.2522  4 Bi 2.61-2.71
Rh: 0.0000 0.2522 0.0000  4 Bi 2.61-2.71
Rh: 0.2522 0.0000 0.0000  4 Bi 2.61-2.71
Rh: 0.7478 0.7478 0.7478  4 Bi 2.61-2.71

Output
- Energy of formation from the pure elements: -206 meV per atom
- V: 278.9 Å³/cell
- Total DFT energy (no corrections): -4.650 eV per atom


2.
A plane-wave DFT calculation with PBE-GGA was carried out for ZnAu4 after structural relaxation.

a = 4.9050 Å, b = 5.5190 Å, c = 7.8499 Å
α = 90.00°, β = 118.09°, γ = 90.00°
With the nearest neighbours (Å) after each atom.
Element x y z (fractional)
Zn: 0.0000 0.0000 0.0000  6 Au 2.65-2.69
Zn: 0.0000 0.5000 0.5000  6 Au 2.65-2.69
Au: 0.1037 0.0012 0.3637  1 Zn 2.65, 3 Au 2.77-2.85
Au: 0.1037 0.4988 0.8637  1 Zn 2.65, 3 Au 2.77-2.85
Au: 0.4998 0.2493 0.7497  2 Zn 2.69, 6 Au 2.76-3.00
Au: 0.4998 0.2507 0.2497  2 Zn 2.69, 6 Au 2.76-3.00
Au: 0.5002 0.7493 0.7503  2 Zn 2.69, 6 Au 2.76-3.00
Au: 0.5002 0.7507 0.2503  2 Zn 2.69, 6 Au 2.76-3.00
Au: 0.8963 0.5012 0.1363  1 Zn 2.65, 3 Au 2.77-2.85
Au: 0.8963 0.9988 0.6363  1 Zn 2.65, 3 Au 2.77-2.85

Output
- Energy of formation from the pure elements: -46 meV per atom
- V: 187.5 Å³/cell
- Total DFT energy (no corrections): -2.923 eV per atom


3.
A plane-wave DFT calculation with PBE-GGA was carried out for ErTlSeS after structural relaxation.

a = 8.1224 Å, b = 8.1224 Å, c = 8.1224 Å
α = 28.96°, β = 28.96°, γ = 28.96°
With the nearest neighbours (Å) after each atom.
Element x y z (fractional)
Er: 0.0000 0.0000 0.0000  3 S 2.72, 3 Se 2.89
Tl: 0.8329 0.8329 0.8329  3 Se 3.21, 3 S 3.45
Se: 0.4055 0.4055 0.4055  3 Er 2.89, 3 Tl 3.21
S: 0.6079 0.6079 0.6079  3 Er 2.72

Output
- V: 111.1 Å³/cell
- Total DFT energy (no corrections): -5.053 eV per atom
- Energy relative to the elements, uncorrected: -136.75 kJ/mol of atoms


4.
A plane-wave DFT calculation with PBE-GGA was carried out for MnBe2Br after structural relaxation.

a = 6.5192 Å, b = 6.5192 Å, c = 6.5192 Å
α = 31.81°, β = 31.81°, γ = 31.81°
With the nearest neighbours (Å) after each atom.
Element x y z (fractional)
Mn: 0.0000 0.0000 0.0000  6 Be 2.28-2.31
Be: 0.3860 0.3860 0.3860  3 Be 2.06, 3 Mn 2.28
Be: 0.7232 0.7232 0.7232  3 Be 2.06
Br: 0.2451 0.2451 0.2451  1 Be 2.62, 3 Mn 2.63

Output
- Relative energy among the computed polymorphs: 39 meV/atom
- V: 68.4 Å³/cell
- Total DFT energy (no corrections): -4.348 eV per atom
- Energy relative to the elements, uncorrected: 21.76 kJ/mol of atoms


5.
A plane-wave DFT calculation with PBE-GGA was carried out for CaTaAs2 after structural relaxation.

a = 3.0716 Å, b = 3.0716 Å, c = 9.6984 Å
α = 90.00°, β = 90.00°, γ = 101.83°
With the nearest neighbours (Å) after each atom.
Element x y z (fractional)
Ca: 0.0000 0.0000 0.0000  4 As 2.98-3.29, 4 Ca 3.07, 2 Ta 3.32
Ta: 0.5000 0.5000 0.2787  2 As 2.60
As: 0.0000 0.0000 0.4583  2 Ta 2.60
As: 0.5000 0.5000 0.7668  4 Ca 2.98-3.29, 4 As 3.07

Output
- Relative energy among the computed polymorphs: 841 meV/atom
- Energy of formation from the pure elements: 109 meV per atom
- V: 89.6 Å³/cell
- Total DFT energy (no corrections): -5.680 eV per atom


6.
A plane-wave DFT calculation with PBE-GGA was carried out for YSeBr2F after structural relaxation.

a = 5.2835 Å, b = 5.2835 Å, c = 4.1004 Å
α = 90.00°, β = 90.00°, γ = 90.00°
With the nearest neighbours (Å) after each atom.
Element x y z (fractional)
Y: 0.0000 0.0000 0.0000  8 Br 3.34, 4 Se 3.74
Se: 0.5000 0.5000 0.0000  2 F 2.05
Br: 0.0000 0.5000 0.5000  2 F 2.64
Br: 0.5000 0.0000 0.5000  2 F 2.64
F: 0.5000 0.5000 0.5000  2 Se 2.05

Output
- Relative energy among the computed polymorphs: 229 meV/atom
- V: 114.5 Å³/cell
- Total DFT energy (no corrections): -3.766 eV per atom
- Energy relative to the elements, uncorrected: -70.68 kJ/mol of atoms


7.
A plane-wave DFT calculation with PBE-GGA was carried out for Pr2GaAgTe5 after structural relaxation.

a = 10.1533 Å, b = 10.1533 Å, c = 12.8221 Å
α = 90.00°, β = 90.00°, γ = 155.49°
With the nearest neighbours (Å) after each atom.
Element x y z (fractional)
Pr: 0.1160 0.8840 0.5000  8 Te 3.26-3.43
Pr: 0.1283 0.8717 0.1170  7 Te 3.19-3.37
Pr: 0.8717 0.1283 0.6170  7 Te 3.19-3.37
Pr: 0.8840 0.1160 0.0000  8 Te 3.26-3.43
Ga: 0.4265 0.5735 0.2755  4 Te 2.64-2.69
Ga: 0.5735 0.4265 0.7755  4 Te 2.64-2.69
Ag: 0.2212 0.7788 0.8380  5 Te 2.83-3.15
Ag: 0.7788 0.2212 0.3380  5 Te 2.83-3.15
Te: 0.0418 0.9582 0.8905  2 Ga 2.69
Te: 0.2859 0.7141 0.4903  2 Ag 2.91, 2 Pr 3.19
Te: 0.3135 0.6865 0.1668  1 Ga 2.64
Te: 0.3629 0.6371 0.8117  1 Ag 2.83
Te: 0.4983 0.5017 0.0987  1 Ga 2.68
Te: 0.5017 0.4983 0.5987  1 Ga 2.68
Te: 0.6371 0.3629 0.3117  1 Ag 2.83
Te: 0.6865 0.3135 0.6668  1 Ga 2.64
Te: 0.7141 0.2859 0.9903  2 Ag 2.91, 2 Pr 3.19
Te: 0.9582 0.0418 0.3905  2 Ga 2.69

Output
- V: 548.4 Å³/cell
- Total DFT energy (no corrections): -4.342 eV per atom
- Energy relative to the elements, uncorrected: -85.07 kJ/mol of atoms


8.
A plane-wave DFT calculation with PBE-GGA was carried out for Tc2AsPd after structural relaxation.

a = 4.3587 Å, b = 4.3587 Å, c = 4.3587 Å
α = 60.00°, β = 60.00°, γ = 60.00°
With the nearest neighbours (Å) after each atom.
Element x y z (fractional)
Tc: 0.2500 0.2500 0.2500  4 As 2.67, 4 Pd 2.67
Tc: 0.7500 0.7500 0.7500  4 As 2.67, 4 Pd 2.67
As: 0.0000 0.0000 0.0000  8 Tc 2.67
Pd: 0.5000 0.5000 0.5000  8 Tc 2.67

Output
- Relative energy among the computed polymorphs: 0 meV/atom
- Energy of formation from the pure elements: 73 meV per atom
- V: 58.6 Å³/cell
- Total DFT energy (no corrections): -7.571 eV per atom


9.
A plane-wave DFT calculation with PBE-GGA was carried out for LaAl5Ir3 after structural relaxation.

a = 6.8826 Å, b = 6.8826 Å, c = 12.7524 Å
α = 90.00°, β = 90.00°, γ = 147.07°
With the nearest neighbours (Å) after each atom.
Element x y z (fractional)
La: 0.1637 0.8363 0.7500  6 Ir 3.34-3.38, 8 Al 3.56-3.73
La: 0.8363 0.1637 0.2500  6 Ir 3.34-3.38, 8 Al 3.56-3.73
Al: 0.0000 0.0000 0.0000  4 Ir 2.51, 2 Al 2.77
Al: 0.0000 0.0000 0.5000  4 Ir 2.51, 2 Al 2.77
Al: 0.2006 0.7994 0.0632  4 Ir 2.49-2.66, 1 Al 2.77
Al: 0.2006 0.7994 0.4368  4 Ir 2.49-2.66, 1 Al 2.77
Al: 0.4439 0.5561 0.6474  4 Ir 2.53-2.57, 3 Al 2.62-2.81
Al: 0.4439 0.5561 0.8526  4 Ir 2.53-2.57, 3 Al 2.62-2.81
Al: 0.5561 0.4439 0.1474  4 Ir 2.53-2.57, 3 Al 2.62-2.81
Al: 0.5561 0.4439 0.3526  4 Ir 2.53-2.57, 3 Al 2.62-2.81
Al: 0.7994 0.2006 0.5632  4 Ir 2.49-2.66, 1 Al 2.77
Al: 0.7994 0.2006 0.9368  4 Ir 2.49-2.66, 1 Al 2.77
Ir: 0.1272 0.8728 0.2500  6 Al 2.53-2.57
Ir: 0.3887 0.6113 0.0444  7 Al 2.49-2.66
Ir: 0.3887 0.6113 0.4556  7 Al 2.49-2.66
Ir: 0.6113 0.3887 0.5444  7 Al 2.49-2.66
Ir: 0.6113 0.3887 0.9556  7 Al 2.49-2.66
Ir: 0.8728 0.1272 0.7500  6 Al 2.53-2.57

Output
- Energy of formation from the pure elements: -768 meV per atom
- V: 328.4 Å³/cell
- Total DFT energy (no corrections): -6.349 eV per atom


10.
A plane-wave DFT calculation with PBE-GGA was carried out for PmDyEr5 after structural relaxation.

a = 7.6937 Å, b = 7.6937 Å, c = 7.6937 Å
α = 117.59°, β = 81.62°, γ = 133.05°
With the nearest neighbours (Å) after each atom.
Element x y z (fractional)
Pm: 0.0000 0.0000 0.0000  4 Er 2.90-3.23
Dy: 0.2412 0.7412 0.5000  2 Er 2.99
Er: 0.4729 0.4729 0.0000  2 Pm 2.90-3.23, 2 Er 3.03
Er: 0.4900 0.7336 0.7564  1 Dy 2.99, 1 Er 3.26, 1 Pm 3.27
Er: 0.7380 0.0587 0.3207  2 Er 2.86-3.03, 1 Pm 3.02
Er: 0.7380 0.4173 0.6793  2 Er 2.86-3.03, 1 Pm 3.02
Er: 0.9773 0.7336 0.2436  1 Dy 2.99, 1 Er 3.26, 1 Pm 3.27

Output
- Relative energy among the computed polymorphs: 807 meV/atom
- Energy of formation from the pure elements: 1006 meV per atom
- V: 284.6 Å³/cell
- Total DFT energy (no corrections): -3.589 eV per atom


11.
A plane-wave DFT calculation with PBE-GGA was carried out for Ga2Cu4As after structural relaxation.

a = 6.8555 Å, b = 6.8555 Å, c = 6.8555 Å
α = 139.77°, β = 139.77°, γ = 58.20°
With the nearest neighbours (Å) after each atom.
Element x y z (fractional)
Ga: 0.1112 0.1112 0.0000  1 Cu 2.33
Ga: 0.8888 0.8888 0.0000  1 Cu 2.33
Cu: 0.0000 0.5000 0.5000  2 As 2.36
Cu: 0.3054 0.3054 0.0000  1 Ga 2.33, 1 As 2.33
Cu: 0.5000 0.0000 0.5000  2 As 2.36
Cu: 0.6946 0.6946 0.0000  1 Ga 2.33, 1 As 2.33
As: 0.5000 0.5000 0.0000  6 Cu 2.33-2.36

Output
- Energy of formation from the pure elements: 369 meV per atom
- V: 133.2 Å³/cell
- Total DFT energy (no corrections): -3.501 eV per atom


12.
A plane-wave DFT calculation with PBE-GGA was carried out for KScIn after structural relaxation.

a = 5.3696 Å, b = 5.3696 Å, c = 5.3696 Å
α = 60.00°, β = 60.00°, γ = 60.00°
With the nearest neighbours (Å) after each atom.
Element x y z (fractional)
K: 0.0000 0.0000 0.0000  4 In 3.29
Sc: 0.5000 0.5000 0.5000  4 In 3.29
In: 0.2500 0.2500 0.2500  4 K 3.29, 4 Sc 3.29

Output
- Relative energy among the computed polymorphs: 370 meV/atom
- Energy of formation from the pure elements: 452 meV per atom
- V: 109.5 Å³/cell
- Total DFT energy (no corrections): -2.937 eV per atom


Number 1: magnetization 0.0 μB/cell. Number 2: magnetization 0.0 μB/cell. Number 3: magnetization 0.0 μB/cell. Number 4: magnetization 2.0 μB/cell. Number 5: magnetization 0.0 μB/cell. Number 6: magnetization 0.0 μB/cell. Number 7: magnetization 0.0 μB/cell. Number 8: magnetization 0.0 μB/cell. Number 9: magnetization 0.0 μB/cell. Number 10: magnetization 0.0 μB/cell. Number 11: magnetization 0.0 μB/cell. Number 12: magnetization 0.9 μB/cell.